# 1
VASP calculation (SCAN) on a crystal of Tl2InSb relaxed with PBEsol.

Geometry as extended XYZ:
```
4
Lattice="0.000 3.803 3.803 3.803 0.000 3.803 3.803 3.803 0.000" Properties=species:S:1:pos:R:3 pbc="T T T"
Tl 0.000 0.000 0.000
Tl 1.902 1.902 1.902
In 5.705 5.705 5.705
Sb 3.803 3.803 3.803
```

## Properties
Fermi-level density of states ... 2.1 states/eV/f.u.
Excess energy over the best structure of this formula in the dataset ... 41 meV per atom
Formation energy (no corrections) ... 59 meV per atom
DFT total energy ... -53.78 eV per atom

***

# 2
VASP calculation (SCAN) on a crystal of Tl2InSb relaxed with PBEsol.

Geometry as extended XYZ:
```
4
Lattice="4.650 0.000 0.000 0.000 4.650 0.000 0.000 0.000 5.094" Properties=species:S:1:pos:R:3 pbc="T T T"
Tl 0.000 2.325 0.000
Tl 2.325 0.000 0.000
In 0.000 0.000 2.547
Sb 2.325 2.325 2.547
```

## Properties
Fermi-level density of states ... 1.7 states/eV/f.u.
Excess energy over the best structure of this formula in the dataset ... 28 meV per atom
Formation energy (no corrections) ... 45 meV per atom
DFT total energy ... -53.80 eV per atom

***

# 3
VASP calculation (SCAN) on a crystal of Tl2InSb relaxed with PBEsol.

Geometry as extended XYZ:
```
4
Lattice="3.228 0.000 0.000 0.000 3.228 0.000 0.000 0.000 10.554" Properties=species:S:1:pos:R:3 pbc="T T T"
Tl 0.000 0.000 2.639
Tl 0.000 0.000 7.914
In 1.614 1.614 0.000
Sb 1.614 1.614 5.277
```

## Properties
Fermi-level density of states ... 1.6 states/eV/f.u.
Excess energy over the best structure of this formula in the dataset ... 47 meV per atom
Formation energy (no corrections) ... 65 meV per atom
DFT total energy ... -53.78 eV per atom

***

# 4
VASP calculation (SCAN) on a crystal of TlInSb2 relaxed with PBEsol.

Geometry as extended XYZ:
```
8
Lattice="-3.287 3.287 6.573 3.287 -3.287 6.573 3.287 3.287 -6.573" Properties=species:S:1:pos:R:3 pbc="T T T"
Tl 0.000 0.000 0.000
Tl 0.000 3.287 3.286
In 3.287 0.000 3.286
In 0.000 0.000 6.573
Sb 1.643 -1.603 4.930
Sb 1.684 1.643 1.643
Sb 1.643 4.889 -1.643
Sb 1.603 1.643 8.216
```

## Properties
Fermi-level density of states ... 0.2 states/eV/f.u.
Excess energy over the best structure of this formula in the dataset ... 0 meV per atom
Formation energy (no corrections) ... -37 meV per atom
DFT total energy ... -45.10 eV per atom